Here is crystalline CdIn2Ni at its relaxed geometry from Alexandria. Energies are from PBE-GGA.

The structure in extended XYZ format:
```
4
Lattice="-0.8749 2.1577 4.7857 -4.2996 -2.1263 2.3057 4.3131 -2.1298 -2.2770" Properties=species:S:1:pos:R:3 pbc="T T T"
In -1.2868 -2.1202 1.7872
In 0.0000 0.0000 0.0000
Ni -2.5872 0.0157 3.5457
Cd 0.4255 0.0218 3.0272
```

Results
Raw total energy = -2.88 eV per atom
Crystal system = tetragonal

---

Here is crystalline CuTcPd2 at its relaxed geometry from Alexandria. Energies are from PBE-GGA.

The structure in extended XYZ format:
```
4
Lattice="-3.7394 -0.6237 2.2041 -3.0832 3.1183 0.0138 -3.7537 -0.6185 -2.1811" Properties=species:S:1:pos:R:3 pbc="T T T"
Pd -7.9323 1.4071 0.0276
Pd -2.6441 0.4690 0.0092
Cu 0.0000 0.0000 0.0000
Tc -5.2882 0.9381 0.0184
```

Results
Raw total energy = -5.94 eV per atom
Crystal system = cubic
E above lowest polymorph = 289.4 meV/atom

---

Here is crystalline PmHfU2N4 at its relaxed geometry from Alexandria. Energies are from PBE-GGA.

The structure in extended XYZ format:
```
8
Lattice="3.3891 0.0000 0.0000 0.0000 5.9551 0.1267 0.0000 -2.0562 5.5695" Properties=species:S:1:pos:R:3 pbc="T T T"
U 1.6946 -1.0281 2.7847
U 0.0000 1.9495 2.8481
N 1.6946 3.0664 4.3276
N 1.6946 0.8326 1.3686
N 0.0000 -0.2215 4.1623
N 0.0000 4.1205 1.5339
Hf 0.0000 0.0000 0.0000
Pm 1.6946 2.9776 0.0633
```

Results
Raw total energy = -10.27 eV per atom
Crystal system = monoclinic
Energy relative to the elements, uncorrected = -1.447 eV/atom

---

Here is crystalline La8Ir3Cl4F at its relaxed geometry from Alexandria. Energies are from PBE-GGA.

The structure in extended XYZ format:
```
16
Lattice="8.2892 0.0000 0.0000 0.0000 8.9572 0.4555 -4.1446 -4.1353 5.8697" Properties=species:S:1:pos:R:3 pbc="T T T"
La 0.0000 4.3682 3.1478
La 2.1206 2.4735 0.3128
La 4.1446 0.4537 3.1773
La 4.1446 4.3745 3.0823
La -2.0240 2.3483 6.0123
La 0.0000 0.4473 3.2429
La 2.0240 2.3483 6.0123
La 6.1686 2.4735 0.3128
Cl 0.0000 0.0000 0.0000
Cl 4.1446 0.0000 0.0000
Cl 2.0723 -2.0677 2.9348
Cl -2.0723 -2.0677 2.9348
Ir -2.0723 2.4109 3.1626
Ir 4.1446 4.4786 0.2277
Ir 2.0723 2.4109 3.1626
F 0.0000 4.4786 0.2277
```

Results
Raw total energy = -6.17 eV per atom
Crystal system = trigonal
Energy relative to the elements, uncorrected = -1.466 eV/atom

---

Here is crystalline CaMgC at its relaxed geometry from Alexandria. Energies are from PBE-GGA.

The structure in extended XYZ format:
```
12
Lattice="-2.7252 -2.2881 0.5683 1.5224 -2.3052 -1.9810 10.9445 -6.0258 15.4228" Properties=species:S:1:pos:R:3 pbc="T T T"
C 4.7340 -5.7741 7.4405
C 9.7187 -6.7053 15.2714
C -1.4994 -1.6086 0.7196
C 5.0076 -4.8450 6.5696
Mg 7.9533 -5.4236 12.4233
Mg 3.2422 -3.5633 3.7214
Mg 6.4994 -7.0558 10.2887
Mg 0.2660 -2.8903 3.5678
Ca 8.5768 -8.6228 13.7086
Ca 2.3434 -4.4573 6.9877
Ca 1.1648 -1.9963 0.3015
Ca 5.8758 -3.8566 9.0034
```

Results
Raw total energy = -4.22 eV per atom
Crystal system = monoclinic

---

Here is crystalline Hg3W at its relaxed geometry from Alexandria. Energies are from PBE-GGA.

The structure in extended XYZ format:
```
8
Lattice="5.5918 0.0000 0.0000 0.0000 5.5918 0.0000 0.0000 0.0000 5.5918" Properties=species:S:1:pos:R:3 pbc="T T T"
Hg 0.0000 4.1939 2.7959
Hg 1.3980 2.7959 0.0000
Hg 2.7959 0.0000 1.3980
Hg 2.7959 0.0000 4.1939
Hg 0.0000 1.3980 2.7959
Hg 4.1939 2.7959 0.0000
W 0.0000 0.0000 0.0000
W 2.7959 2.7959 2.7959
```

Results
Raw total energy = -2.37 eV per atom
Crystal system = cubic
E above lowest polymorph = 646.4 meV/atom

---

Here is crystalline SmHo3Au2 at its relaxed geometry from Alexandria. Energies are from PBE-GGA.

The structure in extended XYZ format:
```
12
Lattice="7.0657 0.0000 0.0000 0.0000 7.2778 0.0000 -3.5329 -3.6389 6.9569" Properties=species:S:1:pos:R:3 pbc="T T T"
Au 1.4333 0.0000 4.9661
Au 4.9662 0.0000 1.9908
Au -1.4333 3.6389 4.9661
Au 2.0995 3.6389 1.9908
Sm 0.0000 0.0000 0.0000
Sm 0.0000 3.6389 0.0000
Ho 3.5329 5.4584 0.0000
Ho 0.0000 1.8195 3.2593
Ho 3.5329 1.8195 0.0000
Ho 0.0000 5.4584 3.2593
Ho 3.5329 1.8194 3.6977
Ho 3.5329 -1.8195 3.6977
```

Results
Raw total energy = -4.62 eV per atom
Crystal system = orthorhombic
E above lowest polymorph = 179.0 meV/atom

---

Here is crystalline Cd6GaHg3 at its relaxed geometry from Alexandria. Energies are from PBE-GGA.

The structure in extended XYZ format:
```
20
Lattice="5.4512 0.1030 -0.3002 0.4288 13.3633 -2.8343 -0.3562 -0.9757 6.6587" Properties=species:S:1:pos:R:3 pbc="T T T"
Cd 1.5973 8.5829 -1.5632
Cd 4.1402 2.0746 -0.3235
Cd 1.3836 10.4160 3.8477
Cd 1.0962 -0.1425 5.4248
Cd 4.1758 7.0845 0.5381
Cd 4.1364 9.2893 2.6708
Cd 1.5599 10.9398 0.4855
Cd 1.3480 5.4060 2.9861
Cd 1.3873 3.2013 0.8534
Cd 3.9265 3.9077 5.0875
Cd 4.4275 12.6331 -1.9006
Cd 3.9639 1.5508 3.0388
Hg 4.2925 9.8192 -0.7543
Hg 4.0864 4.3391 1.7547
Hg 1.2487 0.3931 2.0371
Hg 1.2313 2.6714 4.2785
Hg 4.2750 12.0975 1.4871
Hg 1.4374 8.1515 1.7695
Ga 4.0500 6.5472 3.8393
Ga 1.4738 5.9433 -0.3150
```

Results
Raw total energy = -0.91 eV per atom
Crystal system = triclinic
E above lowest polymorph = 0.0 meV/atom

---

Here is crystalline Sb2RhPb2 at its relaxed geometry from Alexandria. Energies are from PBE-GGA.

The structure in extended XYZ format:
```
10
Lattice="-5.8789 3.4966 -0.4152 -0.2449 -1.2120 -6.7402 -2.9403 -4.8279 0.9750" Properties=species:S:1:pos:R:3 pbc="T T T"
Sb -2.2759 0.1974 -5.8864
Sb -0.9582 0.0925 -2.4319
Sb -3.8478 2.0872 -1.2690
Sb -5.1656 2.1921 -4.7235
Pb -2.6872 -2.6116 -4.1617
Pb -5.6616 -1.0360 -5.3298
Pb -6.3769 0.0682 -2.0188
Pb -3.4025 -1.5073 -0.8507
Rh 0.0000 0.0000 0.0000
Rh -3.0619 1.1423 -3.5777
```

Results
Raw total energy = -4.66 eV per atom
Crystal system = tetragonal
Energy relative to the elements, uncorrected = -0.056 eV/atom

---

Here is crystalline BaCaIn at its relaxed geometry from Alexandria. Energies are from PBE-GGA.

The structure in extended XYZ format:
```
6
Lattice="-2.8484 0.4865 -4.6863 -4.0051 -5.1792 1.8966 -2.0554 6.7303 1.9480" Properties=species:S:1:pos:R:3 pbc="T T T"
Ba -4.4135 3.4414 0.6455
Ba -7.8947 1.0005 -0.7259
In -5.4807 -3.3940 0.5846
In -4.1890 -0.1484 0.1364
Ca -5.7459 -1.7727 -2.3199
Ca -4.4962 1.5887 -2.7305
```

Results
Raw total energy = -2.44 eV per atom
Crystal system = monoclinic

---

Here is crystalline ReF at its relaxed geometry from Alexandria. Energies are from PBE-GGA.

The structure in extended XYZ format:
```
16
Lattice="-6.5694 7.9553 -0.6044 -7.7302 -6.1532 3.0318 0.5941 0.7162 2.9684" Properties=species:S:1:pos:R:3 pbc="T T T"
F -1.8883 2.9712 1.2911
F -11.8172 -0.4529 4.1046
F -4.6119 2.9495 0.2115
F -9.3352 3.5142 1.0206
F -9.6877 -1.1473 2.2158
F -4.8953 -3.7467 3.5138
F -8.8102 6.2650 1.8819
F -4.9645 -1.7120 1.4067
Re -6.6384 -2.7919 2.0023
Re -5.7609 4.6205 1.6683
Re -3.4083 0.0207 2.3072
Re -10.8552 0.5637 2.0367
Re -7.9446 -2.1022 3.7273
Re -7.6612 4.5940 0.4251
Re -3.4444 1.2385 0.3906
Re -10.2972 2.4976 3.0885
```

Results
Raw total energy = -7.59 eV per atom
Crystal system = tetragonal
Energy relative to the elements, uncorrected = -0.426 eV/atom
E above lowest polymorph = 583.1 meV/atom

---

Here is crystalline Hf2In2H at its relaxed geometry from Alexandria. Energies are from PBE-GGA.

The structure in extended XYZ format:
```
10
Lattice="6.0540 0.0000 0.0000 0.0000 6.0540 0.0000 0.0000 0.0000 5.2252" Properties=species:S:1:pos:R:3 pbc="T T T"
H 3.0270 3.0270 0.0000
H 0.0000 0.0000 0.0000
Hf 2.0007 5.0277 0.0000
Hf 5.0277 4.0534 0.0000
Hf 1.0263 2.0007 0.0000
Hf 4.0534 1.0263 0.0000
In 5.0276 2.0005 2.6126
In 1.0265 4.0535 2.6126
In 4.0535 5.0276 2.6126
In 2.0005 1.0265 2.6126
```

Results
Raw total energy = -5.81 eV per atom
Crystal system = tetragonal
E above lowest polymorph = 118.7 meV/atom

---

Here is crystalline Nb3InH at its relaxed geometry from Alexandria. Energies are from PBE-GGA.

The structure in extended XYZ format:
```
10
Lattice="-2.7115 -2.2307 -4.6902 4.3998 -0.4791 -3.5421 -0.6865 -3.6726 4.5964" Properties=species:S:1:pos:R:3 pbc="T T T"
In 2.4740 -2.9822 0.2205
In 1.0972 -4.0855 -2.1182
Nb -1.6311 -2.6362 -4.0282
Nb 2.6369 -1.3226 -2.2844
Nb -0.4708 -3.4416 0.5698
Nb 1.2828 -2.4389 -4.6301
Nb -0.2531 -1.5004 -1.8095
Nb -1.8738 -4.4967 -1.8805
H 3.0385 -2.4130 -3.8210
H -0.4217 -2.3270 -5.5209
```

Results
Raw total energy = -7.33 eV per atom
Crystal system = monoclinic

---

Here is crystalline Cs2ZrBiO6 at its relaxed geometry from Alexandria. Energies are from PBE-GGA.

The structure in extended XYZ format:
```
10
Lattice="-2.1192 -5.6657 -1.0681 3.5563 -4.1244 -2.8414 2.2739 -4.7706 3.1309" Properties=species:S:1:pos:R:3 pbc="T T T"
O 2.0666 -6.0140 1.3869
O 0.9973 -8.8727 0.8480
O -0.1500 -6.4656 -0.7318
O 2.7137 -5.6879 -1.6266
O 3.8610 -8.0950 -0.0468
O 1.6444 -8.5467 -2.1655
Bi 1.8555 -7.2803 -0.3893
Cs 0.9278 -3.6402 -0.1946
Cs 2.7833 -10.9205 -0.5839
Zr 0.0000 0.0000 0.0000
```

Results
Raw total energy = -6.00 eV per atom
Crystal system = cubic
Energy relative to the elements, uncorrected = -1.608 eV/atom

---

Here is crystalline SmTl3Hg12 at its relaxed geometry from Alexandria. Energies are from PBE-GGA.

The structure in extended XYZ format:
```
16
Lattice="4.8718 0.0000 0.0000 0.0000 4.3600 0.0000 0.0000 0.0000 20.6093" Properties=species:S:1:pos:R:3 pbc="T T T"
Tl 0.0000 0.0000 10.3046
Tl 0.0000 0.0000 4.9927
Tl 0.0000 0.0000 15.6166
Hg 2.4359 0.0000 18.2086
Hg 2.4359 2.1800 15.6419
Hg 2.4359 0.0000 12.9942
Hg 2.4359 0.0000 7.6151
Hg 0.0000 2.1800 18.2037
Hg 2.4359 2.1800 10.3046
Hg 0.0000 2.1800 7.6211
Hg 0.0000 2.1800 2.4056
Hg 2.4359 2.1800 4.9674
Hg 2.4359 0.0000 2.4007
Hg 2.4359 2.1800 0.0000
Hg 0.0000 2.1800 12.9881
Sm 0.0000 0.0000 0.0000
```

Results
Raw total energy = -1.06 eV per atom
Crystal system = orthorhombic

---

Here is crystalline CsK2Sm at its relaxed geometry from Alexandria. Energies are from PBE-GGA.

The structure in extended XYZ format:
```
4
Lattice="-2.5312 -0.7494 3.0646 1.0441 -2.6328 2.8877 6.3353 11.0310 10.5993" Properties=species:S:1:pos:R:3 pbc="T T T"
K 0.0942 -0.5676 7.9467
K 4.7540 8.2164 8.6050
Cs 2.4241 3.8244 8.2758
Sm 0.0000 0.0000 0.0000
```

Results
Raw total energy = -1.47 eV per atom
Crystal system = trigonal

---

Here is crystalline Ba2Na2B10H2O19 at its relaxed geometry from Alexandria. Energies are from PBE-GGA.

The structure in extended XYZ format:
```
35
Lattice="-1.1480 -3.1741 -5.8052 -3.0029 -6.0062 0.0480 -8.6015 3.7163 -0.9277" Properties=species:S:1:pos:R:3 pbc="T T T"
O -7.8533 -0.6747 -5.0929
O -9.4253 -2.4257 -5.6594
O -6.5041 -5.5209 -4.0436
O -2.6151 -1.9515 -3.2718
O -8.9776 -2.1293 -1.1090
O -7.8779 2.4413 -1.4543
O -1.6383 -3.9228 -4.2579
O -10.3913 -4.3531 -4.6235
O -4.8084 -7.8045 -5.4390
O -6.5753 -0.4426 -1.6091
O -3.8173 -3.1377 -5.0056
O -8.5955 -5.9151 -5.1459
O -2.7295 -1.6734 -0.8989
O -3.3678 -3.7874 -1.8647
O -4.3658 0.1320 -0.8796
O -5.0885 -5.3406 -1.4303
O -9.8761 -2.4272 -3.2691
O -4.8253 -1.8747 -2.1767
O -8.0503 -3.7776 -4.1194
B -2.9152 -0.2522 -0.6044
B -3.3755 -2.3051 -2.0596
B -9.9162 -2.7461 -1.9135
B -7.7525 -5.0804 -4.4539
B -2.4768 -2.7454 -4.5196
B -5.2188 -0.7179 -1.5402
B -9.1327 -0.9737 -5.7717
B -10.0468 -5.5319 -5.4189
B -9.4363 -3.2499 -4.4374
B -4.0508 -4.5726 -0.9384
Na -6.0085 -2.1706 -4.5028
Na -6.9114 -3.5492 -1.6536
Ba -3.6898 -5.7275 -3.9774
Ba -9.0450 0.2902 -2.7628
H -6.9756 0.0929 -0.8639
H -6.3950 -6.5009 -3.8702
```

Results
Raw total energy = -7.39 eV per atom
Crystal system = monoclinic

---

Here is crystalline TaAg2Br at its relaxed geometry from Alexandria. Energies are from PBE-GGA.

The structure in extended XYZ format:
```
4
Lattice="4.8673 0.0000 0.0000 0.0000 3.9910 0.0000 0.0000 0.0000 3.9910" Properties=species:S:1:pos:R:3 pbc="T T T"
Br 2.4337 1.9955 0.0000
Ag 0.0000 1.9955 1.9955
Ag 0.0000 0.0000 0.0000
Ta 2.4337 0.0000 1.9955
```

Results
Raw total energy = -3.96 eV per atom
Crystal system = tetragonal
Energy relative to the elements, uncorrected = 0.843 eV/atom
E above lowest polymorph = 631.5 meV/atom

---

Here is crystalline KMn3Cu at its relaxed geometry from Alexandria. Energies are from PBE-GGA.

The structure in extended XYZ format:
```
5
Lattice="4.7372 0.0000 0.0000 0.0000 4.7372 0.0000 0.0000 0.0000 4.7372" Properties=species:S:1:pos:R:3 pbc="T T T"
Mn 0.0000 0.0000 2.3686
Mn 0.0000 2.3686 0.0000
Mn 2.3686 0.0000 0.0000
Cu 2.3686 2.3686 2.3686
K 0.0000 0.0000 0.0000
```

Results
Raw total energy = -4.21 eV per atom
Crystal system = cubic
E above lowest polymorph = 1388.9 meV/atom

---

Here is crystalline CuPd3 at its relaxed geometry from Alexandria. Energies are from PBE-GGA.

The structure in extended XYZ format:
```
4
Lattice="-1.7045 0.6681 -2.0539 -1.1390 -4.5761 -0.5433 -1.9486 2.4419 4.2543" Properties=species:S:1:pos:R:3 pbc="T T T"
Cu -0.0029 -0.0117 -0.0014
Pd -2.3193 1.3343 0.5159
Pd -2.0942 -1.2795 1.3218
Pd -1.4177 -1.9378 -1.2967
```

Results
Raw total energy = -4.95 eV per atom
Crystal system = orthorhombic